Entry 1:
{
  "formula": "SrMnCu",
  "functional": "PBE-GGA",
  "state": "optimized geometry",
  "cell": [[-0.5820, -4.9622, 0.4968], [2.2402, -2.4240, 3.7835], [-2.7466, -1.8396, 3.7791]],
  "species": ["Sr", "Mn", "Cu"],
  "fractional_positions": [[0.7500, 0.7500, 0.7500], [0.5000, 0.5000, 0.5000], [0.0000, 0.0000, 0.0000]],
  "de_polymorph_ev_per_atom": 0.769,
  "final_energy_ev_per_atom": -3.920,
  "magnetic_moment_mub_per_atom": 1.468,
  "spacegroup": "No. 216"
}



Entry 2:
{
  "formula": "SrMn2Cu",
  "functional": "PBE-GGA",
  "state": "optimized geometry",
  "cell": [[5.4664, 0.0092, 0.0000], [2.3148, 4.9521, 0.0000], [-3.8906, -2.4807, 2.9311]],
  "species": ["Cu", "Mn", "Mn", "Sr"],
  "fractional_positions": [[0.7500, 0.2500, 0.5000], [0.0000, 0.0000, 0.0000], [0.5000, 0.5000, 0.0000], [0.2500, 0.7500, 0.5000]],
  "de_polymorph_ev_per_atom": 0.493,
  "final_energy_ev_per_atom": -5.318,
  "magnetic_moment_mub_per_atom": 1.881,
  "spacegroup": "No. 139"
}



Entry 3:
{
  "formula": "SrMn2Cu",
  "functional": "PBE-GGA",
  "state": "optimized geometry",
  "cell": [[5.8699, 0.0083, -0.0035], [2.8238, 5.1461, 0.0035], [-3.6849, -3.6937, 2.6897]],
  "species": ["Mn", "Mn", "Cu", "Sr"],
  "fractional_positions": [[0.0435, 0.0435, 0.0000], [0.4565, 0.4565, 0.0000], [0.2500, 0.7500, 0.5000], [0.7500, 0.2500, 0.5000]],
  "de_polymorph_ev_per_atom": 0.342,
  "final_energy_ev_per_atom": -5.469,
  "magnetic_moment_mub_per_atom": 1.947,
  "spacegroup": "No. 71"
}



Entry 4:
{
  "formula": "SrMn2Cu",
  "functional": "PBE-GGA",
  "state": "optimized geometry",
  "cell": [[4.4821, 0.0000, 0.0000], [0.0000, 4.4821, 0.0000], [2.2411, 2.2411, 8.9858]],
  "species": ["Mn", "Mn", "Mn", "Mn", "Cu", "Cu", "Sr", "Sr"],
  "fractional_positions": [[0.3750, 0.1250, 0.2500], [0.8750, 0.6250, 0.7500], [0.3750, 0.6250, 0.2500], [0.3750, 0.6250, 0.7500], [0.2500, 0.7500, 0.5000], [0.5000, 0.5000, 0.0000], [0.7500, 0.2500, 0.5000], [0.0000, 0.0000, 0.0000]],
  "de_polymorph_ev_per_atom": 0.481,
  "final_energy_ev_per_atom": -5.330,
  "magnetic_moment_mub_per_atom": 1.363,
  "spacegroup": "No. 141"
}



Entry 5:
{
  "formula": "Sr2MnCu",
  "functional": "PBE-GGA",
  "state": "optimized geometry",
  "cell": [[8.8726, -0.0298, -0.0179], [7.8855, 4.0673, -0.0179], [7.8855, 1.8998, 3.5964]],
  "species": ["Sr", "Sr", "Cu", "Mn"],
  "fractional_positions": [[0.5086, 0.5086, 0.5086], [0.9914, 0.9914, 0.9914], [0.2500, 0.2500, 0.2500], [0.7500, 0.7500, 0.7500]],
  "de_polymorph_ev_per_atom": 0.293,
  "final_energy_ev_per_atom": -3.635,
  "magnetic_moment_mub_per_atom": 0.999,
  "spacegroup": "No. 166"
}



Entry 6:
{
  "formula": "Sr2MnCu",
  "functional": "PBE-GGA",
  "state": "optimized geometry",
  "cell": [[-3.0879, 4.0137, -1.5651], [-3.0722, 2.5076, 3.5168], [1.1555, 4.9607, 1.4666]],
  "species": ["Sr", "Sr", "Cu", "Mn"],
  "fractional_positions": [[0.0000, 0.0000, 0.0000], [0.2500, 0.2500, 0.2500], [0.5000, 0.5000, 0.5000], [0.7500, 0.7500, 0.7500]],
  "de_polymorph_ev_per_atom": 0.334,
  "final_energy_ev_per_atom": -3.593,
  "magnetic_moment_mub_per_atom": 1.138,
  "spacegroup": "No. 216"
}



Entry 7:
{
  "formula": "SrMn2Cu",
  "functional": "PBE-GGA",
  "state": "optimized geometry",
  "cell": [[-1.9607, -0.9415, 2.4184], [0.5516, -3.1129, -0.7649], [5.9991, -0.1205, 4.8167]],
  "species": ["Cu", "Mn", "Mn", "Sr"],
  "fractional_positions": [[0.5000, 0.5000, 0.7500], [0.0000, 0.0000, 0.9223], [0.0000, 0.0000, 0.5777], [0.5000, 0.5000, 0.2500]],
  "de_polymorph_ev_per_atom": 0.330,
  "final_energy_ev_per_atom": -5.481,
  "magnetic_moment_mub_per_atom": 2.006,
  "spacegroup": "No. 123"
}



Entry 8:
{
  "formula": "SrMn2Cu",
  "functional": "PBE-GGA",
  "state": "optimized geometry",
  "cell": [[5.8732, -0.0003, 0.0044], [-2.9995, 5.0495, 0.0044], [0.7443, 1.3077, 2.6322]],
  "species": ["Cu", "Mn", "Mn", "Sr"],
  "fractional_positions": [[0.0000, 0.5000, 0.5000], [0.0000, 0.0000, 0.0000], [0.5000, 0.5000, 0.0000], [0.5000, 0.0000, 0.5000]],
  "de_polymorph_ev_per_atom": 0.561,
  "final_energy_ev_per_atom": -5.250,
  "magnetic_moment_mub_per_atom": 1.796,
  "spacegroup": "No. 12"
}



Entry 9:
{
  "formula": "Sr2MnCu",
  "functional": "PBE-GGA",
  "state": "optimized geometry",
  "cell": [[8.4850, 0.0000, 0.0000], [0.0000, 8.4850, 0.0000], [4.2425, 4.2425, 3.5290]],
  "species": ["Sr", "Sr", "Sr", "Sr", "Cu", "Cu", "Mn", "Mn"],
  "fractional_positions": [[0.8750, 0.9059, 0.7500], [0.3750, 0.3441, 0.7500], [0.6559, 0.1250, 0.2500], [0.0941, 0.6250, 0.2500], [0.7500, 0.2500, 0.5000], [0.0000, 0.0000, 0.0000], [0.5000, 0.5000, 0.0000], [0.2500, 0.7500, 0.5000]],
  "de_polymorph_ev_per_atom": 0.386,
  "final_energy_ev_per_atom": -3.541,
  "magnetic_moment_mub_per_atom": 1.001,
  "spacegroup": "No. 122"
}



Entry 10:
{
  "formula": "Sr2MnCu2",
  "functional": "PBE-GGA",
  "state": "optimized geometry",
  "cell": [[7.5451, 0.0000, 0.0000], [0.0000, 7.5451, 0.0000], [0.0000, 0.0000, 4.4467]],
  "species": ["Sr", "Sr", "Sr", "Sr", "Cu", "Cu", "Cu", "Cu", "Mn", "Mn"],
  "fractional_positions": [[0.6806, 0.8194, 0.5000], [0.8194, 0.3194, 0.5000], [0.3194, 0.1806, 0.5000], [0.1806, 0.6806, 0.5000], [0.3815, 0.8815, 0.0000], [0.8815, 0.6185, 0.0000], [0.6185, 0.1185, 0.0000], [0.1185, 0.3815, 0.0000], [0.0000, 0.0000, 0.0000], [0.5000, 0.5000, 0.0000]],
  "final_energy_ev_per_atom": -3.935,
  "magnetic_moment_mub_per_atom": 0.858,
  "spacegroup": "No. 127"
}